Here is a relaxed Li3Tm3TaS8 crystal from Alexandria. Energies are from PBE.

Lattice parameters (Å, degrees): 7.5642 7.5642 7.5693 119.99 90.00 120.00
Each line ends with the local moment (μB).
Atoms (fractional coordinates):
S (0.2349, 0.0031, 0.7380)  0.00
S (0.7650, 0.5301, 0.2620)  0.00
S (0.7651, 0.9969, 0.2620)  0.00
S (0.2494, 0.4987, 0.2482)  0.00
S (0.7506, 0.5013, 0.7518)  0.00
S (0.2350, 0.4699, 0.7380)  0.00
S (0.2318, 0.9969, 0.2620)  0.00
S (0.7682, 0.0031, 0.7380)  0.00
Tm (0.5000, 0.5000, 0.5000)  0.01
Tm (0.0000, 0.5000, 0.5000)  0.01
Tm (0.5000, 0.0000, 0.5000)  0.01
Ta (0.0000, 0.0000, 0.5000)  0.19
Li (0.0000, 0.0000, 0.0000)  0.00
Li (0.0000, 0.5000, 0.0000)  0.00
Li (0.5000, 0.5000, 0.0000)  0.00

Properties
- Uncorrected formation energy: -1.65 eV/atom
- Space-group type: R-3m (166)

Here is a relaxed Fe2NiRuAu crystal from Alexandria. Energies are from PBE.

Lattice parameters (Å, degrees): 4.4560 5.0363 4.4560 90.00 90.00 90.00
Each line ends with the local moment (μB).
Atoms (fractional coordinates):
Au (0.0000, 0.5000, 0.0000)  0.05
Fe (0.0000, 0.0000, 0.5000)  3.03
Fe (0.5000, 0.0000, 0.0000)  2.75
Ni (0.5000, 0.5000, 0.5000)  0.79
Ru (0.0000, 0.0000, 0.0000)  0.41

Properties
- Formation energy from the elements: 1560 meV/atom
- Space-group type: P4/mmm (123)

Here is a relaxed PmSm4Hg2 crystal from Alexandria. Energies are from PBE.

Lattice parameters (Å, degrees): 5.1458 5.1458 10.8098 76.23 76.23 60.00
Each line ends with the local moment (μB).
Atoms (fractional coordinates):
Pm (0.5000, 0.5000, 0.5000)  0.20
Sm (0.7030, 0.7030, 0.8911)  0.05
Sm (0.8922, 0.8922, 0.3234)  0.12
Sm (0.2970, 0.2970, 0.1089)  0.05
Sm (0.1078, 0.1078, 0.6766)  0.12
Hg (0.3992, 0.3992, 0.8024)  0.00
Hg (0.6008, 0.6008, 0.1976)  0.00

Properties
- Formation energy from the elements: 36 meV/atom
- Space-group type: R-3m (166)

Here is a relaxed KCo2Ir crystal from Alexandria. Energies are from PBE.

Lattice parameters (Å, degrees): 4.4750 4.4750 4.4750 60.00 60.00 60.00
Each line ends with the local moment (μB).
Atoms (fractional coordinates):
Ir (0.5000, 0.5000, 0.5000)  0.85
Co (0.7500, 0.7500, 0.7500)  1.80
Co (0.2500, 0.2500, 0.2500)  1.80
K (0.0000, 0.0000, 0.0000)  -0.03

Properties
- Offset from the most stable computed form: 2.12 eV/f.u.
- Formation energy from the elements: 1107 meV/atom
- Space-group type: Fm-3m (225)

Here is a relaxed LiAcDyY crystal from Alexandria. Energies are from PBE.

Lattice parameters (Å, degrees): 5.7094 5.7094 5.7094 60.00 60.00 60.00
Atoms (fractional coordinates):
Li (0.0000, 0.0000, 0.0000)
Dy (0.5000, 0.5000, 0.5000)
Y (0.2500, 0.2500, 0.2500)
Ac (0.7500, 0.7500, 0.7500)

Properties
- Offset from the most stable computed form: 0.00 eV/f.u.
- Formation energy from the elements: 175 meV/atom
- Space-group type: F-43m (216)

Here is a relaxed Mg5H3Ir crystal from Alexandria. Energies are from PBE.

Lattice parameters (Å, degrees): 5.6234 5.5989 5.3304 110.98 90.01 120.16
Atoms (fractional coordinates):
Mg (0.7859, 0.6007, 0.6783)
Mg (0.4854, 0.5110, 0.1559)
Mg (0.4631, 0.9547, 0.7000)
Mg (0.9967, 0.5115, 0.1562)
Mg (0.0641, 0.1567, 0.4757)
H (0.1175, 0.2644, 0.8849)
H (0.6518, 0.8856, 0.0192)
H (0.2050, 0.8855, 0.0189)
Ir (0.5160, 0.0608, 0.2427)

Properties
- Offset from the most stable computed form: 0.38 eV/f.u.
- Space-group type: Cm (8)

Here is a relaxed Ti4NbAu3 crystal from Alexandria. Energies are from PBE.

Lattice parameters (Å, degrees): 3.2823 3.2823 12.9224 90.00 90.00 90.00
Each line ends with the local moment (μB).
Atoms (fractional coordinates):
Au (0.5000, 0.5000, 0.5000)  0.07
Au (0.5000, 0.5000, 0.7537)  0.04
Au (0.5000, 0.5000, 0.2463)  0.04
Nb (0.5000, 0.5000, 0.0000)  0.02
Ti (0.0000, 0.0000, 0.3751)  0.79
Ti (0.0000, 0.0000, 0.1194)  0.04
Ti (0.0000, 0.0000, 0.8806)  0.04
Ti (0.0000, 0.0000, 0.6249)  0.79

Properties
- Formation energy from the elements: -280 meV/atom
- Space-group type: P4/mmm (123)

Here is a relaxed CdFeBr2 crystal from Alexandria. Energies are from PBE.

Lattice parameters (Å, degrees): 5.3535 5.3535 5.5851 61.65 61.65 95.30
Each line ends with the local moment (μB).
Atoms (fractional coordinates):
Fe (0.0000, 0.5000, 0.5000)  3.07
Br (0.5000, 0.5000, 0.0000)  0.02
Br (0.0000, 0.0000, 0.0000)  0.02
Cd (0.5000, 0.0000, 0.5000)  -0.01

Properties
- Uncorrected formation energy: 0.26 eV/atom
- Offset from the most stable computed form: 1.50 eV/f.u.
- Space-group type: C2/m (12)